[1]
16
Lattice="7.966 0.000 0.000 0.000 7.966 0.000 0.000 0.000 5.417" Properties=species:S:1:pos:R:3 comment="PBE ScHg2Rh, relaxed" space_group="I-42d (122)" delta_e_f_ev_per_atom=-0.005 pbc="T T T"
Sc 0.000 0.000 0.000
Sc 0.000 3.983 1.354
Sc 3.983 0.000 4.063
Sc 3.983 3.983 2.708
Hg 1.729 1.992 3.386
Hg 1.992 5.713 4.740
Hg 1.992 6.237 2.031
Hg 2.254 1.992 0.677
Hg 5.713 5.975 0.677
Hg 5.975 1.729 2.031
Hg 5.975 2.254 4.740
Hg 6.237 5.975 3.386
Rh 0.000 0.000 2.708
Rh 0.000 3.983 4.063
Rh 3.983 0.000 1.354
Rh 3.983 3.983 0.000


[2]
12
Lattice="6.344 0.000 0.000 0.000 3.514 0.000 -1.848 0.000 17.334" Properties=species:S:1:pos:R:3 comment="PBE Sm2Y7Tm3, relaxed" space_group="P2/m (10)" delta_e_f_ev_per_atom=0.080 e_above_lowest_polymorph_mev_per_atom=0 pbc="T T T"
Sm 0.067 0.000 2.995
Sm 4.430 0.000 14.339
Y -0.924 1.757 8.667
Y 0.208 0.000 11.591
Y -0.217 0.000 17.295
Y 1.129 1.757 5.823
Y 3.367 1.757 11.511
Y 4.713 0.000 0.038
Y 4.288 0.000 5.743
Tm 1.313 1.757 14.604
Tm 2.248 0.000 8.667
Tm 3.183 1.757 2.729


[3]
16
Lattice="7.870 0.000 0.000 0.000 7.870 0.000 0.000 0.000 7.870" Properties=species:S:1:pos:R:3 comment="PBE PmTh2Pa, relaxed" space_group="Fm-3m (225)" delta_e_f_ev_per_atom=0.298 e_above_lowest_polymorph_mev_per_atom=201 pbc="T T T"
Pm 0.000 0.000 0.000
Pm 0.000 3.935 3.935
Pm 3.935 0.000 3.935
Pm 3.935 3.935 0.000
Th 1.967 1.967 1.967
Th 1.967 1.967 5.902
Th 1.967 5.902 1.967
Th 1.967 5.902 5.902
Th 5.902 1.967 1.967
Th 5.902 1.967 5.902
Th 5.902 5.902 1.967
Th 5.902 5.902 5.902
Pa 0.000 0.000 3.935
Pa 0.000 3.935 0.000
Pa 3.935 0.000 0.000
Pa 3.935 3.935 3.935


[4]
16
Lattice="7.476 0.000 0.000 0.000 7.476 0.000 0.000 0.000 7.476" Properties=species:S:1:pos:R:3 comment="PBE NaAcMgCu, relaxed" space_group="F-43m (216)" delta_e_f_ev_per_atom=0.125 pbc="T T T"
Na 0.000 0.000 0.000
Na 0.000 3.738 3.738
Na 3.738 0.000 3.738
Na 3.738 3.738 0.000
Ac 1.869 1.869 5.607
Ac 1.869 5.607 1.869
Ac 5.607 1.869 1.869
Ac 5.607 5.607 5.607
Mg 1.869 1.869 1.869
Mg 1.869 5.607 5.607
Mg 5.607 1.869 5.607
Mg 5.607 5.607 1.869
Cu 0.000 0.000 3.738
Cu 0.000 3.738 0.000
Cu 3.738 0.000 0.000
Cu 3.738 3.738 3.738


[5]
10
Lattice="3.590 0.000 0.000 0.000 3.590 0.000 0.000 0.000 13.852" Properties=species:S:1:pos:R:3 comment="PBE ScMo2Pd2, relaxed" space_group="I4/mmm (139)" delta_e_f_ev_per_atom=-0.061 e_above_lowest_polymorph_mev_per_atom=0 pbc="T T T"
Sc 0.000 0.000 0.000
Sc 1.795 1.795 6.926
Mo 0.000 1.795 3.463
Mo 0.000 1.795 10.389
Mo 1.795 0.000 3.463
Mo 1.795 0.000 10.389
Pd 0.000 0.000 5.607
Pd 0.000 0.000 8.245
Pd 1.795 1.795 1.319
Pd 1.795 1.795 12.533


[6]
6
Lattice="4.259 0.000 0.000 0.000 2.877 0.000 -1.264 0.000 6.935" Properties=species:S:1:pos:R:3 comment="PBE MnHgH, relaxed" space_group="P2/m (10)" e_above_lowest_polymorph_mev_per_atom=117 pbc="T T T"
Mn 0.035 0.000 1.393
Mn 2.960 0.000 5.542
Hg 2.129 1.439 0.000
Hg 1.497 1.439 3.467
H -0.742 1.439 4.772
H 3.736 1.439 2.163


[7]
6
Lattice="3.623 0.000 0.000 0.000 3.623 0.000 0.000 0.000 13.748" Properties=species:S:1:pos:R:3 comment="PBE Ca2AcSn3, relaxed" space_group="P4/mmm (123)" delta_e_f_ev_per_atom=-0.601 pbc="T T T"
Ca 0.000 0.000 2.219
Ca 0.000 0.000 11.529
Ac 0.000 0.000 6.874
Sn 1.812 1.812 0.000
Sn 1.812 1.812 4.436
Sn 1.812 1.812 9.312


[8]
16
Lattice="7.103 0.000 0.000 0.000 7.103 0.000 0.000 0.000 7.103" Properties=species:S:1:pos:R:3 comment="PBE LiYTlAg, relaxed" space_group="F-43m (216)" delta_e_f_ev_per_atom=-0.288 pbc="T T T"
Li 0.000 0.000 0.000
Li 0.000 3.552 3.552
Li 3.552 0.000 3.552
Li 3.552 3.552 0.000
Y 0.000 0.000 3.552
Y 0.000 3.552 0.000
Y 3.552 0.000 0.000
Y 3.552 3.552 3.552
Tl 1.776 1.776 1.776
Tl 1.776 5.327 5.327
Tl 5.327 1.776 5.327
Tl 5.327 5.327 1.776
Ag 1.776 1.776 5.327
Ag 1.776 5.327 1.776
Ag 5.327 1.776 1.776
Ag 5.327 5.327 5.327


[9]
16
Lattice="6.340 0.000 0.000 0.000 6.340 0.000 0.000 0.000 6.340" Properties=species:S:1:pos:R:3 comment="PBE NiPtCl2, relaxed" space_group="Fm-3m (225)" raw_formation_energy_ev_per_fu=2.657 e_above_lowest_polymorph_mev_per_atom=884 pbc="T T T"
Ni 0.000 0.000 0.000
Ni 0.000 3.170 3.170
Ni 3.170 0.000 3.170
Ni 3.170 3.170 0.000
Pt 0.000 0.000 3.170
Pt 0.000 3.170 0.000
Pt 3.170 0.000 0.000
Pt 3.170 3.170 3.170
Cl 1.585 1.585 1.585
Cl 1.585 1.585 4.755
Cl 1.585 4.755 1.585
Cl 1.585 4.755 4.755
Cl 4.755 1.585 1.585
Cl 4.755 1.585 4.755
Cl 4.755 4.755 1.585
Cl 4.755 4.755 4.755


[10]
8
Lattice="3.249 0.000 0.000 0.000 4.776 0.000 0.000 0.000 8.626" Properties=species:S:1:pos:R:3 comment="PBE Sc2CrOs, relaxed" space_group="Cmmm (65)" delta_e_f_ev_per_atom=0.203 e_above_lowest_polymorph_mev_per_atom=348 pbc="T T T"
Sc 0.000 0.000 2.127
Sc 0.000 0.000 6.499
Sc 1.624 2.388 2.127
Sc 1.624 2.388 6.499
Cr 0.000 2.388 4.313
Cr 1.624 0.000 4.313
Os 0.000 2.388 0.000
Os 1.624 0.000 0.000


[11]
5
Lattice="5.271 0.000 0.000 0.000 5.271 0.000 0.000 0.000 5.271" Properties=species:S:1:pos:R:3 comment="PBE CaZr3I, relaxed" space_group="Pm-3m (221)" raw_formation_energy_ev_per_fu=8.002 e_above_lowest_polymorph_mev_per_atom=967 pbc="T T T"
Ca 0.000 0.000 0.000
Zr 0.000 0.000 2.635
Zr 0.000 2.635 0.000
Zr 2.635 0.000 0.000
I 2.635 2.635 2.635


[12]
12
Lattice="3.973 -6.879 0.000 3.973 6.879 0.000 -2.648 0.000 7.484" Properties=species:S:1:pos:R:3 comment="PBE KTl5Cl6, relaxed" space_group="C2/m (12)" raw_formation_energy_ev_per_fu=-14.091 pbc="T T T"
K 0.000 0.000 0.000
Tl 2.649 4.588 3.742
Tl 3.973 2.296 0.000
Tl 2.649 0.000 3.742
Tl 3.973 -2.296 0.000
Tl 2.649 -4.588 3.742
Cl 1.298 2.253 1.841
Cl -0.046 0.000 5.622
Cl 1.298 -2.253 1.841
Cl 4.000 2.253 5.644
Cl 5.344 0.000 1.862
Cl 4.000 -2.253 5.644


| no. | size of the total moment (μB per atom) | total DFT energy (no corrections) (hartree per atom) |
| --- | --- | --- |
| 1 | 0.0000 | -0.1314 |
| 2 | 0.0000 | -0.2056 |
| 3 | 0.0001 | -0.2563 |
| 4 | 0.0005 | -0.0976 |
| 5 | 0.0000 | -0.2843 |
| 6 | 1.1761 | -0.1465 |
| 7 | 0.0000 | -0.1453 |
| 8 | 0.0000 | -0.1355 |
| 9 | 0.0004 | -0.1181 |
| 10 | 0.2507 | -0.3004 |
| 11 | 0.3952 | -0.1558 |
| 12 | 0.0000 | -0.1167 |